Version one
The following is a DFT calculation (PBE) of a geometry-optimized Ho2ErCd structure.

Structure (extended XYZ):
```
4
Lattice="3.536 0.000 0.000 1.768 3.063 0.000 1.768 1.021 10.741" Properties=species:S:1:pos:R:3 pbc="T T T"
Cd 0.000 0.000 0.000
Ho 1.768 1.021 2.529
Ho 5.305 3.063 8.212
Er 3.536 2.042 5.371
```

Version two
The following is a DFT calculation (PBE) of a geometry-optimized Ho2ErCd structure.

Structure (extended XYZ):
```
4
Lattice="-0.626 2.980 -1.832 0.590 -1.745 -3.039 -8.752 -2.132 -0.476" Properties=species:S:1:pos:R:3 pbc="T T T"
Cd -0.018 0.618 -2.436
Ho -6.742 -1.642 -0.366
Ho -2.011 -0.490 -0.109
Er -4.394 -0.448 -2.674
```

Version three
The following is a DFT calculation (PBE) of a geometry-optimized Ho2ErCd structure.

Structure (extended XYZ):
```
4
Lattice="-4.534 0.126 2.940 -0.951 -3.855 3.668 0.229 1.170 5.272" Properties=species:S:1:pos:R:3 pbc="T T T"
Cd -2.628 -1.279 5.940
Ho -1.314 -0.640 2.970
Ho -3.942 -1.919 8.909
Er 0.000 0.000 0.000
```

We find version two to be the most stable, with the next structure 0.074 eV/atom higher.